Density functional theory data (GGA-PBE) for a relaxed MnIrOs crystal.

Unit cell a=5.0909 b=10.4262 c=14.4922 alpha=90.00 beta=90.00 gamma=90.00
Space group Fddd (No. 70, origin choice 2)
Asymmetric unit:
Mn 0.1250 0.1250 0.0346 x16
Ir 0.0000 0.0000 0.5000 x16
Os 0.1250 0.3295 0.1250 x16

Formation enthalpy at 0 K, meV per atom: 660
Total DFT energy (no corrections), eV per atom: -9.09

Density functional theory data (GGA-PBE) for a relaxed SiTe crystal.

Unit cell a=6.6464 b=3.8441 c=5.8433 alpha=90.00 beta=105.54 gamma=90.00
Space group Cm (No. 8)
Asymmetric unit:
Si 0.0000 0.0000 0.0000 x2
Te 0.1028 0.5000 0.7293 x2

Total DFT energy (no corrections), eV per atom: -4.00

One value per record, in order, for magnetization: 2.2 0.0 μB per formula unit.
One value per record, in order, for calculated volume: 16.03 35.96 A^3/atom.